No. 1
Density functional theory data (PBE) for a relaxed structure of DyPaRh2.

Energy of formation from the pure elements ... -681 meV/atom
Calculated volume ... 20.40 Å³/atom
Polymorph energy (0 for the lowest one) ... 196 meV per atom
Total magnetization ... 0.011 μB/atom

Structure (POSCAR):
```
DyPaRh2
1.0
0.000 3.443 3.443
3.443 0.000 3.443
3.443 3.443 0.000
Dy Pa Rh
1 1 2
Cartesian
0.000 0.000 0.000
3.443 3.443 3.443
1.721 1.721 1.721
5.164 5.164 5.164
```

---

No. 2
Density functional theory data (PBE) for a relaxed structure of DyPaRh2.

Energy of formation from the pure elements ... -745 meV/atom
Calculated volume ... 22.46 Å³/atom
Polymorph energy (0 for the lowest one) ... 132 meV per atom
Total magnetization ... 0.000 μB/atom

Structure (POSCAR):
```
DyPaRh2
1.0
1.919 1.108 7.043
-1.919 1.108 7.043
0.000 -2.216 7.043
Dy Pa Rh
1 1 2
Cartesian
0.000 0.000 0.000
0.000 0.000 3.612
0.000 0.000 12.250
0.000 0.000 16.046
```

---

No. 3
Density functional theory data (PBE) for a relaxed structure of DyPaRh2.

Energy of formation from the pure elements ... -762 meV/atom
Calculated volume ... 20.81 Å³/atom
Polymorph energy (0 for the lowest one) ... 115 meV per atom
Total magnetization ... 0.000 μB/atom

Structure (POSCAR):
```
DyPaRh2
1.0
3.461 0.000 0.000
0.000 3.461 0.000
0.000 0.000 6.948
Dy Pa Rh
1 1 2
Cartesian
0.000 0.000 0.000
0.000 0.000 3.474
1.731 1.731 1.938
1.731 1.731 5.010
```

---

No. 4
Density functional theory data (PBE) for a relaxed structure of Dy2PaRh4.

Energy of formation from the pure elements ... -635 meV/atom
Calculated volume ... 20.49 Å³/atom
Total magnetization ... 0.000 μB/atom

Structure (POSCAR):
```
Dy2PaRh4
1.0
-2.245 2.245 7.115
2.245 -2.245 7.115
2.245 2.245 -7.115
Dy Pa Rh
2 1 4
Cartesian
0.000 0.000 3.378
0.000 0.000 10.852
0.000 0.000 7.115
2.245 0.000 1.591
2.245 0.000 5.524
0.000 2.245 1.591
0.000 2.245 5.524
```

---

No. 5
Density functional theory data (PBE) for a relaxed structure of Dy3PaRh6.

Energy of formation from the pure elements ... -776 meV/atom
Calculated volume ... 18.89 Å³/atom
Total magnetization ... 0.000 μB/atom

Structure (POSCAR):
```
Dy3PaRh6
1.0
8.679 0.000 0.000
0.000 4.489 0.000
-1.959 0.000 9.697
Dy Pa Rh
6 2 12
Cartesian
-0.373 1.122 3.823
0.850 3.367 1.756
0.532 1.122 9.364
6.188 3.367 0.333
5.870 1.122 7.940
7.093 3.367 5.874
2.579 1.122 6.091
4.142 3.367 3.605
-1.239 3.367 8.670
-0.074 1.122 6.627
1.302 3.367 4.800
2.459 1.122 2.970
1.573 3.367 7.649
3.492 3.367 1.077
3.229 1.122 8.620
5.147 1.122 2.048
4.262 3.367 6.726
5.419 1.122 4.897
6.795 3.367 3.069
7.960 1.122 1.027
```

---

No. 6
Density functional theory data (PBE) for a relaxed structure of DyPa2Rh5.

Energy of formation from the pure elements ... -811 meV/atom
Calculated volume ... 18.65 Å³/atom
Total magnetization ... 0.000 μB/atom

Structure (POSCAR):
```
DyPa2Rh5
1.0
5.902 0.000 0.000
0.000 11.663 0.000
0.000 0.000 4.335
Dy Pa Rh
2 4 10
Cartesian
0.000 0.000 0.000
2.951 5.831 0.000
0.922 4.115 2.168
2.030 9.946 2.168
3.873 1.717 2.168
4.981 7.548 2.168
0.000 5.831 0.000
0.526 8.730 0.000
1.176 1.355 2.168
1.775 7.186 2.168
2.425 2.899 0.000
2.951 0.000 0.000
3.477 8.764 0.000
4.127 4.476 2.168
4.726 10.308 2.168
5.376 2.933 0.000
```